Material: YRh4Br
Method: DFT, PBE
State: relaxed

Cell and atoms, written as POSCAR:
```
YRh4Br
1.0
0.000 3.770 3.770
3.770 0.000 3.770
3.770 3.770 0.000
Y Rh Br
1 4 1
Direct
0.000 0.000 0.000
0.374 0.374 0.374
0.374 0.374 0.877
0.374 0.877 0.374
0.877 0.374 0.374
0.750 0.750 0.750
```

Values from the calculation:
As for the formation energy from raw total energies: -0.009 eV per atom. As for the size of the total moment: 1.27 μB per formula unit. The value obtained for the final energy is -6.27 eV per atom.